TmScSn4Ru2 | GGA-PBE | relaxed Values from VASP.

Structure (Quantum ESPRESSO input):
```
&SYSTEM
  ibrav = 0, nat = 8, ntyp = 4
/
ATOMIC_SPECIES
Tm 168.93 Tm.upf
Sc 44.96 Sc.upf
Sn 118.71 Sn.upf
Ru 101.07 Ru.upf
CELL_PARAMETERS angstrom
4.401 0.000 0.000
0.000 4.401 0.000
0.000 0.000 10.023
ATOMIC_POSITIONS angstrom
Tm 0.000 0.000 0.000
Sc 0.000 0.000 5.011
Sn 0.000 2.200 2.310
Sn 0.000 2.200 7.713
Sn 2.200 0.000 2.310
Sn 2.200 0.000 7.713
Ru 2.200 2.200 3.863
Ru 2.200 2.200 6.159
```

Output
ΔH_f (0 K)	-0.133	eV per atom
total energy	-5.8041	eV/atom
total magnetic moment	0.00	μB/f.u.
symmetry	No. 123